Record 1
CsLiTbTe3: optimized geometry, PBE.

The space group is Cmcm (No. 63) and the conventional cell measures 4.723, 18.232 and 10.600 Å, with angles of 90.00, 90.00 and 90.00 degrees. Symmetry generates all atoms from Cs at (0.000, 0.247, 0.250), Li at (0.000, 0.484, 0.250), Tb at (0.000, 0.000, 0.000), Te at (0.000, 0.088, 0.750) and Te at (0.000, 0.397, 0.587).

The calculation puts the calculated volume at 38.04 A^3/atom. The uncorrected formation energy is -1.105 eV/atom.

Record 2
Zn5Sn12Ge3: optimized geometry, PBE.

The space group is Ia-3d (No. 230) and the conventional cell measures 16.547, 16.547 and 16.547 Å, with angles of 90.00, 90.00 and 90.00 degrees. Symmetry generates all atoms from Zn at (0.000, 0.000, 0.000), Zn at (0.000, 0.250, 0.375), Sn at (0.013, 0.072, 0.652) and Ge at (0.000, 0.250, 0.125).

The calculation puts the calculated volume at 28.32 A^3/atom. The calculation puts the calculated formation energy at 0.215 eV/atom.

Record 3
AlNiMo2: optimized geometry, PBE.

The space group is Pm (No. 6) and the conventional cell measures 2.719, 4.257 and 5.013 Å, with angles of 90.00, 96.97 and 90.00 degrees. Symmetry generates all atoms from Al at (0.000, 0.000, 0.000), Ni at (0.990, 0.500, 0.754), Mo at (0.398, 0.000, 0.511) and Mo at (0.603, 0.500, 0.240).

The calculation puts the calculated volume at 14.40 A^3/atom. The calculation puts the calculated formation energy at -0.116 eV/atom.